(1)
Computed, not measured: a relaxed NaCr2BiO8 crystal at the PBE+U level of DFT.

Results
V, Å³/cell: 345.25
Crystal system: tetragonal
Total DFT energy (no corrections), eV/cell: -152.03

a = 7.377 Å, b = 7.377 Å, c = 6.344 Å
α = 90.00°, β = 90.00°, γ = 90.00°
Space group I-4m2 (No. 119)
Asymmetric unit:
Na 0.000 0.000 0.000
Cr 0.000 0.000 0.500
Cr 0.000 0.500 0.750
Bi 0.000 0.500 0.250
O 0.000 0.183 0.345
O 0.000 0.323 0.915

=====

(2)
Computed, not measured: a relaxed NaCrBi2O6 crystal at the PBE+U level of DFT.

Results
V, Å³/cell: 268.66
Crystal system: monoclinic
Total DFT energy (no corrections), eV/cell: -119.66

a = 5.473 Å, b = 6.052 Å, c = 9.688 Å
α = 90.00°, β = 123.15°, γ = 90.00°
Space group P2_1/c (No. 14)
Asymmetric unit:
Na 0.000 0.000 0.000
Cr 0.500 0.000 0.500
Bi 0.208 0.049 0.719
O 0.163 0.162 0.476
O 0.238 0.746 0.900
O 0.408 0.093 0.286

=====

(3)
Computed, not measured: a relaxed Na2CrBiO4 crystal at the PBE+U level of DFT.

Results
V, Å³/cell: 105.56
Crystal system: monoclinic
Total DFT energy (no corrections), eV/cell: -46.00

a = 5.785 Å, b = 3.284 Å, c = 5.886 Å
α = 90.00°, β = 109.27°, γ = 90.00°
Space group P2/m (No. 10)
Asymmetric unit:
Na 0.000 0.000 0.000
Na 0.500 0.500 0.000
Cr 0.000 0.500 0.500
Bi 0.500 0.000 0.500
O 0.206 0.000 0.703
O 0.220 0.500 0.281

=====

(4)
Computed, not measured: a relaxed NaCr2BiO6 crystal at the PBE+U level of DFT.

Results
V, Å³/cell: 344.16
Crystal system: trigonal
Total DFT energy (no corrections), eV/cell: -194.14

a = 5.4168 Å, b = 5.4168 Å, c = 13.5441 Å
α = 90.00°, β = 90.00°, γ = 120.00°
Space group R3 (No. 146, hexagonal axes)
Asymmetric unit:
Na 0.0000 0.0000 0.0000
Cr 0.0000 0.0000 0.2358
Cr 0.0000 0.0000 0.7377
Bi 0.0000 0.0000 0.5159
O 0.0895 0.3404 0.8162
O 0.0948 0.7525 0.3093

=====

(5)
Computed, not measured: a relaxed NaCrBiO4 crystal at the PBE+U level of DFT.

Results
V, Å³/cell: 397.06
Crystal system: orthorhombic
Total DFT energy (no corrections), eV/cell: -171.94

a = 6.234 Å, b = 6.870 Å, c = 9.271 Å
α = 90.00°, β = 90.00°, γ = 90.00°
Space group Imma (No. 74)
Asymmetric unit:
Na 0.000 0.250 0.134
Cr 0.250 0.250 0.750
Bi 0.000 0.000 0.500
O 0.000 0.053 0.744
O 0.241 0.250 0.532